KCu2S2: relaxed, PBE.

DFT total energy (eV/f.u.): -19.8
N(E_F) (states/eV per atom): 0.69
Space group: P4/mmm (123)
Total magnetization (μB per atom): 0.00

abc: 3.727 3.727 7.048
angles: 90.00 90.00 90.00
Positions (direct):
K: 0.000 0.000 0.000
Cu: 0.500 0.000 0.500
Cu: 0.000 0.500 0.500
S: 0.500 0.500 0.718
S: 0.500 0.500 0.282